# CrTcPt2

An optimized crystal structure of CrTcPt2 (PBE-GGA, Alexandria via LeMat-Bulk).

Unit cell a=9.130 b=9.130 c=9.130 alpha=17.17 beta=17.17 gamma=17.17
Last column: magnetic moment on the atom in μB.
Element x y z (fractional)
Cr1 0.751 0.751 0.751  0.59
Pt1 0.006 0.006 0.006  0.06
Pt2 0.248 0.248 0.248  0.03
Tc1 0.495 0.495 0.495  0.03

Computed properties:
Energy relative to the elements in meV per atom: -42.9
Space-group type: R3m
Energy above the lowest structure with this stoichiometry in eV/f.u.: 0.58

***

# CeGa2PtRh2

An optimized crystal structure of CeGa2PtRh2 (PBE-GGA, Alexandria via LeMat-Bulk).

Unit cell a=4.699 b=4.699 c=5.496 alpha=90.00 beta=90.00 gamma=90.00
Last column: magnetic moment on the atom in μB.
Element x y z (fractional)
Ce1 0.000 0.000 0.500  0.69
Ga1 0.500 0.000 0.000  0.01
Ga2 0.000 0.500 0.000  0.01
Pt1 0.000 0.000 0.000  0.00
Rh1 0.500 0.500 0.745  -0.18
Rh2 0.500 0.500 0.255  -0.18

Computed properties:
Energy relative to the elements in meV per atom: -301.6
Space-group type: P4/mmm

***

# CrTcTe

An optimized crystal structure of CrTcTe (PBE-GGA, Alexandria via LeMat-Bulk).

Unit cell a=3.834 b=3.997 c=8.886 alpha=90.00 beta=102.60 gamma=90.00
Last column: magnetic moment on the atom in μB.
Element x y z (fractional)
Cr1 0.195 0.000 0.857  2.60
Cr2 0.673 0.500 0.814  0.33
Te1 0.974 0.000 0.421  0.05
Te2 0.295 0.500 0.054  -0.07
Tc1 0.591 0.000 0.652  -0.10
Tc2 0.084 0.500 0.638  0.12

Computed properties:
ΔE_f (raw) in eV/atom: 0.066
Space-group type: Pm
Energy above the lowest structure with this stoichiometry in eV/f.u.: 0.23

***

# Cs2HoSnTe4

An optimized crystal structure of Cs2HoSnTe4 (PBE-GGA, Alexandria via LeMat-Bulk).

Unit cell a=7.251 b=8.788 c=14.334 alpha=84.01 beta=75.35 gamma=65.64
Element x y z (fractional)
Cs1 0.181 0.000 0.637
Cs2 0.819 0.000 0.363
Cs3 0.569 0.500 0.863
Cs4 0.931 0.500 0.137
Ho1 0.750 0.500 0.500
Ho2 0.000 0.000 0.000
Sn1 0.250 0.500 0.500
Sn2 0.500 0.000 0.000
Te1 0.298 0.787 0.112
Te2 0.197 0.213 0.888
Te3 0.915 0.787 0.888
Te4 0.589 0.213 0.112
Te5 0.452 0.713 0.388
Te6 0.553 0.287 0.612
Te7 0.835 0.713 0.612
Te8 0.161 0.287 0.388

Computed properties:
ΔE_f (raw) in eV/atom: -0.862
Space-group type: Fddd

***

# Tb5CePrDy2

An optimized crystal structure of Tb5CePrDy2 (PBE-GGA, Alexandria via LeMat-Bulk).

Unit cell a=5.725 b=11.176 c=9.618 alpha=90.00 beta=90.00 gamma=104.84
Last column: magnetic moment on the atom in μB.
Element x y z (fractional)
Tb1 0.394 0.788 0.040  -0.01
Tb2 0.734 0.468 0.834  0.04
Tb3 0.471 0.942 0.746  -0.02
Tb4 0.307 0.613 0.717  0.05
Tb5 0.988 0.976 0.515  -0.01
Tb6 0.606 0.212 0.540  -0.01
Tb7 0.266 0.532 0.334  0.04
Tb8 0.529 0.058 0.246  -0.02
Tb9 0.693 0.387 0.217  0.05
Tb10 0.012 0.024 0.015  -0.01
Ce1 0.805 0.610 0.523  0.65
Ce2 0.195 0.390 0.023  0.65
Pr1 0.597 0.194 0.923  -0.02
Pr2 0.403 0.806 0.423  -0.02
Dy1 0.887 0.774 0.822  0.01
Dy2 0.138 0.276 0.703  0.03
Dy3 0.113 0.226 0.322  0.01
Dy4 0.862 0.724 0.203  0.03

Computed properties:
Energy relative to the elements in meV per atom: 174.0
Space-group type: Cmc2_1

***

# Th6RuC3N2

An optimized crystal structure of Th6RuC3N2 (PBE-GGA, Alexandria via LeMat-Bulk).

Unit cell a=3.752 b=7.642 c=8.587 alpha=103.23 beta=102.62 gamma=90.00
Element x y z (fractional)
Th1 0.327 0.914 0.654
Th2 0.670 0.580 0.340
Th3 0.673 0.086 0.346
Th4 0.998 0.270 0.996
Th5 0.002 0.730 0.004
Th6 0.330 0.420 0.660
Ru1 0.500 0.000 0.000
C1 0.500 0.500 0.000
C2 0.824 0.171 0.648
C3 0.176 0.829 0.352
N1 0.821 0.654 0.642
N2 0.179 0.346 0.358

Computed properties:
ΔE_f (raw) in eV/atom: -0.666
Space-group type: C2/m

***

# PuHg2Au9

An optimized crystal structure of PuHg2Au9 (PBE-GGA, Alexandria via LeMat-Bulk).

Unit cell a=5.615 b=5.615 c=9.816 alpha=73.38 beta=73.38 gamma=60.00
Last column: magnetic moment on the atom in μB.
Element x y z (fractional)
Pu1 0.000 0.000 0.000  5.49
Hg1 0.864 0.864 0.408  -0.01
Hg2 0.136 0.136 0.592  -0.01
Au1 0.667 0.667 0.999  0.01
Au2 0.333 0.333 0.001  0.01
Au3 0.500 0.500 0.500  0.00
Au4 0.414 0.414 0.253  0.01
Au5 0.919 0.414 0.253  0.01
Au6 0.414 0.919 0.253  0.01
Au7 0.586 0.586 0.747  0.01
Au8 0.586 0.081 0.747  0.01
Au9 0.081 0.586 0.747  0.01

Computed properties:
Energy relative to the elements in meV per atom: -86.8
Space-group type: R-3m

***

# KNaRh2I

An optimized crystal structure of KNaRh2I (PBE-GGA, Alexandria via LeMat-Bulk).

Unit cell a=5.013 b=6.049 c=5.013 alpha=90.00 beta=90.00 gamma=90.00
Element x y z (fractional)
I1 0.000 0.000 0.000
Na1 0.500 0.500 0.500
K1 0.000 0.500 0.000
Rh1 0.000 0.000 0.500
Rh2 0.500 0.000 0.000

Computed properties:
ΔE_f (raw) in eV/atom: 0.535
Space-group type: P4/mmm

***

# Sr2Ga3Pd12Pt

An optimized crystal structure of Sr2Ga3Pd12Pt (PBE-GGA, Alexandria via LeMat-Bulk).

Unit cell a=7.766 b=7.766 c=7.766 alpha=65.82 beta=65.82 gamma=65.82
Element x y z (fractional)
Sr1 0.607 0.607 0.607
Sr2 0.393 0.393 0.393
Ga1 0.500 0.000 0.000
Ga2 0.000 0.500 0.000
Ga3 0.000 0.000 0.500
Pd1 0.361 0.361 0.905
Pd2 0.860 0.860 0.379
Pd3 0.379 0.860 0.860
Pd4 0.905 0.361 0.361
Pd5 0.860 0.379 0.860
Pd6 0.361 0.905 0.361
Pd7 0.639 0.639 0.095
Pd8 0.140 0.140 0.621
Pd9 0.621 0.140 0.140
Pd10 0.095 0.639 0.639
Pd11 0.140 0.621 0.140
Pd12 0.639 0.095 0.639
Pt1 0.000 0.000 0.000

Computed properties:
Energy relative to the elements in meV per atom: -100.3
Space-group type: R-3m

***

# TiGe2Au2

An optimized crystal structure of TiGe2Au2 (PBE-GGA, Alexandria via LeMat-Bulk).

Unit cell a=7.325 b=7.325 c=3.373 alpha=90.00 beta=90.00 gamma=90.00
Element x y z (fractional)
Ge1 0.345 0.845 0.000
Ge2 0.845 0.655 0.000
Ge3 0.655 0.155 0.000
Ge4 0.155 0.345 0.000
Au1 0.149 0.649 0.500
Au2 0.649 0.851 0.500
Au3 0.851 0.351 0.500
Au4 0.351 0.149 0.500
Ti1 0.000 0.000 0.000
Ti2 0.500 0.500 0.000

Computed properties:
Energy relative to the elements in meV per atom: -2.2
Space-group type: P4/mbm

***

# AlZnCd

An optimized crystal structure of AlZnCd (PBE-GGA, Alexandria via LeMat-Bulk).

Unit cell a=4.413 b=4.413 c=4.413 alpha=60.00 beta=60.00 gamma=60.00
Element x y z (fractional)
Zn1 0.250 0.250 0.250
Al1 0.000 0.000 0.000
Cd1 0.500 0.500 0.500

Computed properties:
Energy relative to the elements in meV per atom: 119.5
Space-group type: F-43m
Energy above the lowest structure with this stoichiometry in eV/f.u.: 0.12

***

# BaCaMg3

An optimized crystal structure of BaCaMg3 (PBE-GGA, Alexandria via LeMat-Bulk).

Unit cell a=6.126 b=6.126 c=6.126 alpha=90.00 beta=90.00 gamma=90.00
Element x y z (fractional)
Mg1 0.000 0.500 0.000
Mg2 0.000 0.000 0.500
Mg3 0.500 0.000 0.000
Ca1 0.500 0.500 0.500
Ba1 0.000 0.000 0.000

Computed properties:
Energy relative to the elements in meV per atom: 787.9
Space-group type: Pm-3m
Energy above the lowest structure with this stoichiometry in eV/f.u.: 1.80

***

# MgTe2AsI

An optimized crystal structure of MgTe2AsI (PBE-GGA, Alexandria via LeMat-Bulk).

Unit cell a=5.549 b=5.549 c=5.498 alpha=90.00 beta=90.00 gamma=90.00
Element x y z (fractional)
I1 0.000 0.000 0.500
As1 0.000 0.000 0.000
Te1 0.000 0.500 0.000
Te2 0.500 0.000 0.000
Mg1 0.500 0.500 0.500

Computed properties:
ΔE_f (raw) in eV/atom: 0.238
Space-group type: P4/mmm
Energy above the lowest structure with this stoichiometry in eV/f.u.: 0.00

***

| no. | volume (Å³ per cell) | total moment (μB/cell) |
| --- | --- | --- |
| 1 | 57.89 | 0.74 |
| 2 | 121.34 | 0.45 |
| 3 | 132.91 | 3.30 |
| 4 | 805.01 | 0.00 |
| 5 | 594.84 | 1.69 |
| 6 | 233.57 | 0.00 |
| 7 | 252.99 | 5.85 |
| 8 | 151.98 | 0.00 |
| 9 | 372.99 | 0.00 |
| 10 | 180.94 | 0.00 |
| 11 | 60.78 | 0.00 |
| 12 | 229.92 | 0.00 |
| 13 | 169.29 | 0.00 |